Compound: NaInPb3
Source: the Alexandria database
Functional: PBE-GGA
Structure: optimized geometry

Calculated values
Density of states at the Fermi level   1.7 states/eV/f.u.
DFT formation energy   0.0139 eV/atom
Magnetic moment   0.00 μB per cell

a = 6.719 Å, b = 5.630 Å, c = 9.156 Å
α = 90.00°, β = 104.21°, γ = 90.00°
Atoms (fractional coordinates):
Pb 0.049 0.950 0.616
Pb 0.148 0.950 0.267
Pb 0.545 0.950 0.601
Pb 0.455 0.450 0.399
Pb 0.852 0.450 0.733
Pb 0.951 0.450 0.384
Na 0.375 0.451 0.783
Na 0.625 0.951 0.217
In 0.135 0.448 0.067
In 0.865 0.948 0.933

***

Compound: TlZnFe2
Source: the Alexandria database
Functional: PBE-GGA
Structure: optimized geometry

Calculated values
Density of states at the Fermi level   2.9 states/eV/f.u.
DFT formation energy   0.4331 eV/atom
Magnetic moment   5.03 μB per cell

a = 2.967 Å, b = 2.967 Å, c = 7.032 Å
α = 90.00°, β = 90.00°, γ = 89.99°
Each line ends with the local moment (μB).
Atoms (fractional coordinates):
Fe 0.000 0.000 0.959  2.58
Fe 0.000 0.000 0.541  2.58
Tl 0.500 0.500 0.250  -0.03
Zn 0.500 0.500 0.750  -0.07

***

Compound: Sm3AgRh
Source: the Alexandria database
Functional: PBE-GGA
Structure: optimized geometry

Calculated values
Density of states at the Fermi level   3.4 states/eV/f.u.
DFT formation energy   -0.4077 eV/atom
Magnetic moment   0.00 μB per cell

a = 6.022 Å, b = 6.022 Å, c = 9.395 Å
α = 63.01°, β = 63.01°, γ = 65.54°
Atoms (fractional coordinates):
Sm 0.708 0.708 0.717
Sm 0.075 0.075 0.716
Sm 0.691 0.691 0.118
Sm 0.309 0.309 0.882
Sm 0.925 0.925 0.284
Sm 0.292 0.292 0.283
Rh 0.750 0.250 0.000
Rh 0.250 0.750 0.000
Ag 0.291 0.709 0.500
Ag 0.709 0.291 0.500